1.
DFT (PBE) results for crystalline MgTaPd2 at its relaxed geometry.

Calculated values
energy of formation from the pure elements: -415 meV/atom
total moment: 0.0000 μB per atom
volume: 16.5 Å³ per atom

Geometry as CIF:
```
data_MgTaPd2
_space_group_name_H-M_alt 'P 1'
_space_group_IT_number 1
_cell_length_a 2.867
_cell_length_b 4.805
_cell_length_c 4.805
_cell_angle_alpha 90.00
_cell_angle_beta 90.00
_cell_angle_gamma 90.00
loop_
_space_group_symop_operation_xyz
'x,y,z'
loop_
_atom_site_label
_atom_site_type_symbol
_atom_site_fract_x
_atom_site_fract_y
_atom_site_fract_z
Mg1 Mg 0.500 0.500 0.500
Pd1 Pd 0.000 0.000 0.500
Pd2 Pd 0.000 0.500 0.000
Ta1 Ta 0.500 0.000 0.000
```

2.
DFT (PBE) results for crystalline Mg2TaPd2 at its relaxed geometry.

Calculated values
energy of formation from the pure elements: -229 meV/atom
energy above the most stable polymorph in this dataset: 0.0000 eV/atom
total moment: 0.0000 μB per atom
volume: 17.0 Å³ per atom

Geometry as CIF:
```
data_Mg2TaPd2
_space_group_name_H-M_alt 'P 1'
_space_group_IT_number 1
_cell_length_a 7.632
_cell_length_b 7.632
_cell_length_c 2.920
_cell_angle_alpha 90.00
_cell_angle_beta 90.00
_cell_angle_gamma 90.00
loop_
_space_group_symop_operation_xyz
'x,y,z'
loop_
_atom_site_label
_atom_site_type_symbol
_atom_site_fract_x
_atom_site_fract_y
_atom_site_fract_z
Mg1 Mg 0.147 0.647 0.500
Mg2 Mg 0.647 0.853 0.500
Mg3 Mg 0.853 0.353 0.500
Mg4 Mg 0.353 0.147 0.500
Pd1 Pd 0.348 0.848 0.000
Pd2 Pd 0.848 0.652 0.000
Pd3 Pd 0.652 0.152 0.000
Pd4 Pd 0.152 0.348 0.000
Ta1 Ta 0.000 0.000 0.000
Ta2 Ta 0.500 0.500 0.000
```